The following is a PBE-GGA calculation of crystalline Li3Tb3Ga8 at its relaxed geometry, from Alexandria via LeMat-Bulk.

a = 4.2765 Å, b = 8.3314 Å, c = 8.3314 Å
α = 69.84°, β = 75.13°, γ = 75.13°
Last column: nearest neighbours and their distance in Å.
Positions (direct):
Ga  0.1544  0.4804  0.2108  4 Ga 2.57-2.78, 1 Li 2.58
Ga  0.1544  0.2108  0.4804  4 Ga 2.57-2.78, 1 Li 2.58
Ga  0.3604  0.9245  0.3547  3 Ga 2.58-2.78, 3 Li 2.74-2.81
Ga  0.6396  0.0755  0.6453  3 Ga 2.58-2.78, 3 Li 2.74-2.81
Li  0.0000  0.1945  0.8055  6 Ga 2.58-2.81, 2 Li 2.83
Ga  0.6396  0.6453  0.0755  3 Ga 2.58-2.78, 3 Li 2.74-2.81
Tb  0.5000  0.5000  0.5000  12 Ga 3.20-3.27
Ga  0.8456  0.5196  0.7892  4 Ga 2.57-2.78, 1 Li 2.58
Li  0.5000  0.0000  0.0000  4 Ga 2.74, 4 Li 2.83
Ga  0.8456  0.7892  0.5196  4 Ga 2.57-2.78, 1 Li 2.58
Ga  0.3604  0.3547  0.9245  3 Ga 2.58-2.78, 3 Li 2.74-2.81
Tb  0.2030  0.7970  0.7970  10 Ga 3.08-3.40, 4 Li 3.22-3.39
Tb  0.7970  0.2030  0.2030  10 Ga 3.08-3.40, 4 Li 3.22-3.39
Li  0.0000  0.8055  0.1945  6 Ga 2.58-2.81, 2 Li 2.83

Calculated values
For the size of the total moment, the calculation gives 0.00 μB/cell. The value obtained for the raw total energy is -51.0 eV per cell. As for the energy relative to the elements: -0.51 eV/atom. The value obtained for the mass density is 6.6 g/cm³.